(1)
VASP calculation (GGA-PBE) on a geometry-optimized Dy3Ho3MgTe8 structure.

## Properties
* formation energy (no corrections): -1.27 eV per atom

The structure in CIF format:
```
data_Dy3Ho3MgTe8
_chemical_formula_sum 'Dy9 Ho9 Mg3 Te24'
_cell_length_a 8.6658
_cell_length_b 8.6658
_cell_length_c 21.2520
_cell_angle_alpha 90.00
_cell_angle_beta 90.00
_cell_angle_gamma 120.00
_symmetry_space_group_name_H-M 'R -3 m'
_symmetry_Int_Tables_number 166
_symmetry_space_group_name_Hall '-R 3 2"'
loop_
_atom_site_label
_atom_site_fract_x
_atom_site_fract_y
_atom_site_fract_z
Dy1 0.0000 0.5000 0.0000
Ho1 0.0000 0.5000 0.5000
Mg1 0.0000 0.0000 0.5000
Te1 0.0000 0.0000 0.2495
Te2 0.0035 0.5018 0.2486
```

---

(2)
VASP calculation (GGA-PBE) on a geometry-optimized Dy4Ho2ThMg structure.

## Properties
* formation energy from the elements: 116 meV/atom

The structure in CIF format:
```
data_Dy4Ho2ThMg
_chemical_formula_sum 'Dy4 Ho2 Th1 Mg1'
_cell_length_a 5.819
_cell_length_b 5.819
_cell_length_c 7.252
_cell_angle_alpha 90.00
_cell_angle_beta 90.00
_cell_angle_gamma 90.00
_symmetry_space_group_name_H-M 'P 4/m m m'
_symmetry_Int_Tables_number 123
_symmetry_space_group_name_Hall '-P 4 2'
loop_
_atom_site_label
_atom_site_fract_x
_atom_site_fract_y
_atom_site_fract_z
Dy1 0.000 0.500 0.243
Ho1 0.000 0.000 0.500
Ho2 0.500 0.500 0.500
Th1 0.000 0.000 0.000
Mg1 0.500 0.500 0.000
```

---

(3)
VASP calculation (GGA-PBE) on a geometry-optimized DyHoThMg structure.

## Properties
* formation energy from the elements: 173 meV/atom
* offset from the most stable computed form: 0.86 eV/f.u.

The structure in CIF format:
```
data_DyHoThMg
_chemical_formula_sum 'Dy4 Ho4 Th4 Mg4'
_cell_length_a 7.817
_cell_length_b 7.817
_cell_length_c 7.817
_cell_angle_alpha 90.00
_cell_angle_beta 90.00
_cell_angle_gamma 90.00
_symmetry_space_group_name_H-M 'F -4 3 m'
_symmetry_Int_Tables_number 216
_symmetry_space_group_name_Hall 'F -4 2 3'
loop_
_atom_site_label
_atom_site_fract_x
_atom_site_fract_y
_atom_site_fract_z
Dy1 0.000 0.000 0.000
Ho1 0.000 0.000 0.500
Th1 0.250 0.250 0.750
Mg1 0.250 0.250 0.250
```

---

(4)
VASP calculation (GGA-PBE) on a geometry-optimized DyHoThMg structure.

## Properties
* formation energy from the elements: -43 meV/atom
* offset from the most stable computed form: 0.00 eV/f.u.

The structure in CIF format:
```
data_DyHoThMg
_chemical_formula_sum 'Dy1 Ho1 Th1 Mg1'
_cell_length_a 3.578
_cell_length_b 3.578
_cell_length_c 9.201
_cell_angle_alpha 90.00
_cell_angle_beta 90.00
_cell_angle_gamma 90.00
_symmetry_space_group_name_H-M 'P 4 m m'
_symmetry_Int_Tables_number 99
loop_
_symmetry_equiv_pos_as_xyz
'x,y,z'
'-y,x,z'
'-x,-y,z'
'y,-x,z'
'-x,y,z'
'y,x,z'
'x,-y,z'
'-y,-x,z'
loop_
_atom_site_label
_atom_site_fract_x
_atom_site_fract_y
_atom_site_fract_z
Dy1 0.000 0.000 0.000
Ho1 0.000 0.000 0.521
Th1 0.500 0.500 0.261
Mg1 0.500 0.500 0.759
```

---

(5)
VASP calculation (GGA-PBE) on a geometry-optimized DyHo2MgTl4 structure.

## Properties
* formation energy from the elements: -279 meV/atom

The structure in CIF format:
```
data_DyHo2MgTl4
_chemical_formula_sum 'Dy3 Ho6 Mg3 Tl12'
_cell_length_a 5.2442
_cell_length_b 5.2442
_cell_length_c 26.6554
_cell_angle_alpha 90.00
_cell_angle_beta 90.00
_cell_angle_gamma 120.00
_symmetry_space_group_name_H-M 'R -3 m'
_symmetry_Int_Tables_number 166
_symmetry_space_group_name_Hall '-R 3 2"'
loop_
_atom_site_label
_atom_site_fract_x
_atom_site_fract_y
_atom_site_fract_z
Dy1 0.0000 0.0000 0.0000
Ho1 0.0000 0.0000 0.2442
Mg1 0.0000 0.0000 0.5000
Tl1 0.0000 0.0000 0.1244
Tl2 0.0000 0.0000 0.3759
```

---

(6)
VASP calculation (GGA-PBE) on a geometry-optimized Dy2HoTm2Mg structure.

## Properties
* formation energy from the elements: 483 meV/atom

The structure in CIF format:
```
data_Dy2HoTm2Mg
_chemical_formula_sum 'Dy4 Ho2 Tm4 Mg2'
_cell_length_a 10.129
_cell_length_b 11.667
_cell_length_c 3.592
_cell_angle_alpha 90.00
_cell_angle_beta 90.00
_cell_angle_gamma 90.00
_symmetry_space_group_name_H-M 'P n n m'
_symmetry_Int_Tables_number 58
loop_
_symmetry_equiv_pos_as_xyz
'x,y,z'
'-x,-y,-z'
'-x,-y,z'
'x,y,-z'
'x+1/2,-y+1/2,-z+1/2'
'-x+1/2,y+1/2,z+1/2'
'-x+1/2,y+1/2,-z+1/2'
'x+1/2,-y+1/2,z+1/2'
loop_
_atom_site_label
_atom_site_fract_x
_atom_site_fract_y
_atom_site_fract_z
Dy1 0.097 0.222 0.000
Ho1 0.000 0.000 0.500
Tm1 0.250 0.427 0.500
Mg1 0.000 0.500 0.000
```

---

(7)
VASP calculation (GGA-PBE) on a geometry-optimized Dy3Ho2Tm6Mg structure.

## Properties
* formation energy from the elements: 34 meV/atom

The structure in CIF format:
```
data_Dy3Ho2Tm6Mg
_chemical_formula_sum 'Dy6 Ho4 Tm12 Mg2'
_cell_length_a 6.044
_cell_length_b 10.473
_cell_length_c 11.558
_cell_angle_alpha 90.00
_cell_angle_beta 100.11
_cell_angle_gamma 90.00
_symmetry_space_group_name_H-M 'C 1 2/m 1'
_symmetry_Int_Tables_number 12
loop_
_symmetry_equiv_pos_as_xyz
'x,y,z'
'-x,-y,-z'
'-x,y,-z'
'x,-y,z'
'x+1/2,y+1/2,z'
'-x+1/2,-y+1/2,-z'
'-x+1/2,y+1/2,-z'
'x+1/2,-y+1/2,z'
loop_
_atom_site_label
_atom_site_fract_x
_atom_site_fract_y
_atom_site_fract_z
Dy1 0.000 0.000 0.000
Dy2 0.000 0.334 0.000
Ho1 0.000 0.166 0.500
Tm1 0.248 0.334 0.748
Tm2 0.249 0.000 0.749
Mg1 0.000 0.500 0.500
```

---

(8)
VASP calculation (GGA-PBE) on a geometry-optimized Dy2HoTm4Mg structure.

## Properties
* formation energy from the elements: 21 meV/atom

The structure in CIF format:
```
data_Dy2HoTm4Mg
_chemical_formula_sum 'Dy4 Ho2 Tm8 Mg2'
_cell_length_a 12.014
_cell_length_b 3.635
_cell_length_c 11.425
_cell_angle_alpha 90.00
_cell_angle_beta 107.36
_cell_angle_gamma 90.00
_symmetry_space_group_name_H-M 'C 1 2/m 1'
_symmetry_Int_Tables_number 12
loop_
_symmetry_equiv_pos_as_xyz
'x,y,z'
'-x,-y,-z'
'-x,y,-z'
'x,-y,z'
'x+1/2,y+1/2,z'
'-x+1/2,-y+1/2,-z'
'-x+1/2,y+1/2,-z'
'x+1/2,-y+1/2,z'
loop_
_atom_site_label
_atom_site_fract_x
_atom_site_fract_y
_atom_site_fract_z
Dy1 0.023 0.000 0.272
Ho1 0.000 0.500 0.000
Tm1 0.219 0.000 0.610
Tm2 0.237 0.500 0.867
Mg1 0.000 0.500 0.500
```

---

no.,V (A^3/atom)
1,30.71
2,30.69
3,29.85
4,29.45
5,26.45
6,35.37
7,30.01
8,29.76